This record from the Alexandria database describes an optimized crystal structure of LiHoNiAg. The functional is PBE.

Values from the calculation:
- ΔH_f (0 K) (eV/atom) = -0.16
- space group = F-43m, No. 216

Cell lengths 4.613, 4.613, 4.613 Å; angles 60.00, 60.00, 60.00 degrees
Element x y z (fractional)
Ho 0.250 0.250 0.250
Ag 0.750 0.750 0.750
Ni 0.500 0.500 0.500
Li 0.000 0.000 0.000

=====

This record from the Alexandria database describes an optimized crystal structure of Ac2Tm3Se6. The functional is PBE.

Values from the calculation:
- space group = C2/m, No. 12
- formation energy (no corrections) (meV/atom) = -1842

Cell lengths 7.179, 7.149, 7.479 Å; angles 80.81, 71.44, 59.86 degrees
Element x y z (fractional)
Tm 0.000 0.000 0.000
Tm 0.334 0.332 0.000
Tm 0.666 0.668 0.000
Ac 0.166 0.668 0.500
Ac 0.834 0.332 0.500
Se 0.734 0.000 0.774
Se 0.920 0.673 0.222
Se 0.266 0.000 0.226
Se 0.407 0.673 0.778
Se 0.593 0.327 0.222
Se 0.080 0.327 0.778

=====

This record from the Alexandria database describes an optimized crystal structure of Tb2Tc12P7. The functional is PBE.

Values from the calculation:
- ΔH_f (0 K) (eV/atom) = -0.60
- space group = P-6, No. 174

Cell lengths 3.954, 9.564, 9.564 Å; angles 120.00, 90.00, 90.00 degrees
Element x y z (fractional)
Tc 0.000 0.450 0.510
Tc 0.500 0.732 0.099
Tc 0.500 0.549 0.761
Tc 0.500 0.211 0.451
Tc 0.500 0.239 0.789
Tc 0.000 0.490 0.940
Tc 0.000 0.766 0.709
Tc 0.000 0.060 0.550
Tc 0.000 0.291 0.057
Tc 0.500 0.367 0.268
Tc 0.500 0.901 0.633
Tc 0.000 0.943 0.234
P 0.500 0.932 0.392
P 0.500 0.608 0.541
P 0.000 0.333 0.667
P 0.000 0.203 0.262
P 0.000 0.738 0.942
P 0.000 0.058 0.797
P 0.500 0.459 0.068
Tb 0.500 0.000 0.000
Tb 0.000 0.667 0.333

=====

This record from the Alexandria database describes an optimized crystal structure of Y4CdGaAg2. The functional is PBE.

Values from the calculation:
- ΔH_f (0 K) (eV/atom) = -0.41
- space group = R-3m, No. 166

Cell lengths 5.177, 5.177, 8.973 Å; angles 73.23, 73.23, 60.00 degrees
Element x y z (fractional)
Ag 0.254 0.254 0.237
Ag 0.746 0.746 0.763
Y 0.379 0.379 0.864
Y 0.128 0.128 0.615
Y 0.621 0.621 0.136
Y 0.872 0.872 0.385
Ga 0.500 0.500 0.500
Cd 0.000 0.000 0.000

=====

This record from the Alexandria database describes an optimized crystal structure of Cr2BRh4. The functional is PBE.

Values from the calculation:
- ΔH_f (0 K) (eV/atom) = 0.24
- space group = I4/mmm, No. 139

Cell lengths 4.016, 4.016, 6.893 Å; angles 73.06, 73.06, 90.00 degrees
Element x y z (fractional)
Rh 0.000 0.500 0.000
Rh 0.500 0.000 0.000
Rh 0.168 0.168 0.663
Rh 0.832 0.832 0.337
Cr 0.355 0.355 0.289
Cr 0.645 0.645 0.711
B 0.000 0.000 0.000

=====

This record from the Alexandria database describes an optimized crystal structure of Y3GaCu3. The functional is PBE.

Values from the calculation:
- ΔH_f (0 K) (eV/atom) = -0.34
- space group = C2/m, No. 12

Cell lengths 4.187, 5.542, 13.814 Å; angles 85.69, 81.28, 67.81 degrees
Element x y z (fractional)
Y 0.604 0.713 0.079
Y 0.538 0.314 0.610
Y 0.396 0.287 0.921
Y 0.248 0.272 0.232
Y 0.752 0.728 0.768
Y 0.462 0.686 0.390
Cu 0.959 0.849 0.232
Cu 0.104 0.870 0.922
Cu 0.896 0.130 0.078
Cu 0.041 0.151 0.768
Cu 0.132 0.279 0.458
Cu 0.868 0.721 0.542
Ga 0.246 0.901 0.607
Ga 0.754 0.099 0.393

=====

This record from the Alexandria database describes an optimized crystal structure of SrSi3Se. The functional is PBE.

Values from the calculation:
- energy above the most stable polymorph in this dataset (meV per atom) = 0
- space group = Pm-3m, No. 221
- formation energy (no corrections) (meV/atom) = 505

Cell lengths 5.045, 5.045, 5.045 Å; angles 90.00, 90.00, 90.00 degrees
Element x y z (fractional)
Si 0.500 0.000 0.000
Si 0.000 0.500 0.000
Si 0.000 0.000 0.500
Se 0.000 0.000 0.000
Sr 0.500 0.500 0.500